# Y2MgGeO, optimized geometry, DFT PBE-GGA
# * DFT total energy: -6.179 eV/atom
# * uncorrected formation energy: -1.36 eV per atom
# * N(E_F): 0.530 states/eV/atom
# * magnetization: 0.0 μB per formula unit
data_Y2MgGeO
_cell_length_a 4.802
_cell_length_b 4.802
_cell_length_c 4.151
_cell_angle_alpha 90.00
_cell_angle_beta 90.00
_cell_angle_gamma 90.00
_space_group_name_H-M_alt 'P 4/m m m'
_space_group_IT_number 123
_space_group_name_Hall '-P 4 2'
loop_
_atom_site_label
_atom_site_fract_x
_atom_site_fract_y
_atom_site_fract_z
Y1 0.000 0.500 0.000
Mg1 0.000 0.000 0.500
Ge1 0.500 0.500 0.500
O1 0.000 0.000 0.000


# FeAu3S, optimized geometry, DFT PBE-GGA
# * DFT total energy: -3.186 eV/atom
# * uncorrected formation energy: 1.30 eV per atom
# * N(E_F): 2.706 states/eV/atom
# * magnetization: 0.0 μB per formula unit
data_FeAu3S
_cell_length_a 4.756
_cell_length_b 4.756
_cell_length_c 4.756
_cell_angle_alpha 90.00
_cell_angle_beta 90.00
_cell_angle_gamma 90.00
_space_group_name_H-M_alt 'P m -3 m'
_space_group_IT_number 221
_space_group_name_Hall '-P 4 2 3'
loop_
_atom_site_label
_atom_site_fract_x
_atom_site_fract_y
_atom_site_fract_z
Fe1 0.000 0.000 0.000
Au1 0.000 0.000 0.500
S1 0.500 0.500 0.500


# YMg2Cr, optimized geometry, DFT PBE-GGA
# * DFT total energy: -4.311 eV/atom
# * N(E_F): 0.720 states/eV/atom
# * magnetization: 3.8 μB per formula unit
data_YMg2Cr
_cell_length_a 4.252
_cell_length_b 4.252
_cell_length_c 22.021
_cell_angle_alpha 90.00
_cell_angle_beta 90.00
_cell_angle_gamma 90.00
_space_group_name_H-M_alt 'I -4 2 d'
_space_group_IT_number 122
_space_group_name_Hall 'I -4 2bw'
loop_
_atom_site_label
_atom_site_fract_x
_atom_site_fract_y
_atom_site_fract_z
Y1 0.000 0.000 0.000
Mg1 0.232 0.250 0.625
Cr1 0.000 0.000 0.500


# Cs2RbSiAu, optimized geometry, DFT PBE-GGA
# * DFT total energy: -2.234 eV/atom
# * uncorrected formation energy: 0.04 eV per atom
# * N(E_F): 0.632 states/eV/atom
# * magnetization: 0.0 μB per formula unit
data_Cs2RbSiAu
_cell_length_a 7.400
_cell_length_b 7.400
_cell_length_c 4.728
_cell_angle_alpha 90.00
_cell_angle_beta 90.00
_cell_angle_gamma 90.00
_space_group_name_H-M_alt 'P 4/m m m'
_space_group_IT_number 123
_space_group_name_Hall '-P 4 2'
loop_
_atom_site_label
_atom_site_fract_x
_atom_site_fract_y
_atom_site_fract_z
Cs1 0.000 0.500 0.000
Rb1 0.000 0.000 0.500
Si1 0.500 0.500 0.500
Au1 0.500 0.500 0.000


# NaLaHgGe, optimized geometry, DFT PBE-GGA
# * DFT total energy: -3.248 eV/atom
# * N(E_F): 0.199 states/eV/atom
# * magnetization: 0.0 μB per formula unit
data_NaLaHgGe
_cell_length_a 7.460
_cell_length_b 7.460
_cell_length_c 7.460
_cell_angle_alpha 90.00
_cell_angle_beta 90.00
_cell_angle_gamma 90.00
_space_group_name_H-M_alt 'F -4 3 m'
_space_group_IT_number 216
_space_group_name_Hall 'F -4 2 3'
loop_
_atom_site_label
_atom_site_fract_x
_atom_site_fract_y
_atom_site_fract_z
Na1 0.000 0.000 0.000
La1 0.000 0.000 0.500
Hg1 0.250 0.250 0.750
Ge1 0.250 0.250 0.250


# Cs2PbIO6, optimized geometry, DFT PBE-GGA
# * DFT total energy: -4.541 eV/atom
# * uncorrected formation energy: -0.87 eV per atom
# * N(E_F): 0.921 states/eV/atom
# * magnetization: 1.1 μB per formula unit
data_Cs2PbIO6
_cell_length_a 9.011
_cell_length_b 9.011
_cell_length_c 9.011
_cell_angle_alpha 90.00
_cell_angle_beta 90.00
_cell_angle_gamma 90.00
_space_group_name_H-M_alt 'F m -3 m'
_space_group_IT_number 225
_space_group_name_Hall '-F 4 2 3'
loop_
_atom_site_label
_atom_site_fract_x
_atom_site_fract_y
_atom_site_fract_z
Cs1 0.250 0.250 0.250
Pb1 0.000 0.000 0.000
I1 0.000 0.000 0.500
O1 0.000 0.000 0.287


# Sr2Li3, optimized geometry, DFT PBE-GGA
# * DFT total energy: -1.804 eV/atom
# * N(E_F): 0.756 states/eV/atom
# * magnetization: 0.0 μB per formula unit
data_Sr2Li3
_cell_length_a 6.283
_cell_length_b 11.843
_cell_length_c 9.301
_cell_angle_alpha 90.00
_cell_angle_beta 90.00
_cell_angle_gamma 90.00
_space_group_name_H-M_alt 'C m c e'
_space_group_IT_number 64
_space_group_name_Hall '-C 2ac 2'
loop_
_atom_site_label
_atom_site_fract_x
_atom_site_fract_y
_atom_site_fract_z
Sr1 0.000 0.163 0.099
Li1 0.000 0.000 0.500
Li2 0.250 0.089 0.750


# CeHo2ZrP4, optimized geometry, DFT PBE-GGA
# * DFT total energy: -7.170 eV/atom
# * N(E_F): 0.687 states/eV/atom
# * magnetization: 0.3 μB per formula unit
data_CeHo2ZrP4
_cell_length_a 6.816
_cell_length_b 3.941
_cell_length_c 6.831
_cell_angle_alpha 90.00
_cell_angle_beta 109.30
_cell_angle_gamma 90.00
_space_group_name_H-M_alt 'P 1 2/m 1'
_space_group_IT_number 10
_space_group_name_Hall '-P 2y'
loop_
_atom_site_label
_atom_site_fract_x
_atom_site_fract_y
_atom_site_fract_z
Ce1 0.000 0.000 0.000
Ho1 0.500 0.000 0.500
Ho2 0.500 0.500 0.000
Zr1 0.000 0.500 0.500
P1 0.241 0.000 0.739
P2 0.248 0.500 0.259


# PW3, optimized geometry, DFT PBE-GGA
# * DFT total energy: -10.763 eV/atom
# * N(E_F): 0.787 states/eV/atom
# * magnetization: 0.0 μB per formula unit
data_PW3
_cell_length_a 5.927
_cell_length_b 6.602
_cell_length_c 3.110
_cell_angle_alpha 90.00
_cell_angle_beta 90.00
_cell_angle_gamma 90.00
_space_group_name_H-M_alt 'C m m m'
_space_group_IT_number 65
_space_group_name_Hall '-C 2 2'
loop_
_atom_site_label
_atom_site_fract_x
_atom_site_fract_y
_atom_site_fract_z
P1 0.000 0.000 0.000
W1 0.000 0.500 0.000
W2 0.250 0.250 0.500


# FePIr2, optimized geometry, DFT PBE-GGA
# * DFT total energy: -7.807 eV/atom
# * N(E_F): 1.221 states/eV/atom
# * magnetization: 1.5 μB per formula unit
data_FePIr2
_cell_length_a 3.858
_cell_length_b 3.858
_cell_length_c 3.510
_cell_angle_alpha 90.00
_cell_angle_beta 90.00
_cell_angle_gamma 90.00
_space_group_name_H-M_alt 'P 4/m m m'
_space_group_IT_number 123
_space_group_name_Hall '-P 4 2'
loop_
_atom_site_label
_atom_site_fract_x
_atom_site_fract_y
_atom_site_fract_z
Fe1 0.000 0.000 0.000
P1 0.500 0.500 0.000
Ir1 0.000 0.500 0.500


# NdY6Tm8, optimized geometry, DFT PBE-GGA
# * DFT total energy: -5.157 eV/atom
# * N(E_F): 1.537 states/eV/atom
# * magnetization: 0.0 μB per formula unit
data_NdY6Tm8
_cell_length_a 8.9968
_cell_length_b 8.9968
_cell_length_c 20.4473
_cell_angle_alpha 90.00
_cell_angle_beta 90.00
_cell_angle_gamma 120.00
_space_group_name_H-M_alt 'R -3'
_space_group_IT_number 148
_space_group_name_Hall '-R 3'
loop_
_atom_site_label
_atom_site_fract_x
_atom_site_fract_y
_atom_site_fract_z
Nd1 0.0000 0.0000 0.0000
Y1 0.0646 0.8180 0.7080
Tm1 0.0000 0.0000 0.4241
Tm2 0.0807 0.5282 0.8089


# NdSmGaRu, optimized geometry, DFT PBE-GGA
# * DFT total energy: -5.771 eV/atom
# * N(E_F): 0.666 states/eV/atom
# * magnetization: 0.0 μB per formula unit
data_NdSmGaRu
_cell_length_a 7.176
_cell_length_b 7.176
_cell_length_c 7.176
_cell_angle_alpha 90.00
_cell_angle_beta 90.00
_cell_angle_gamma 90.00
_space_group_name_H-M_alt 'F -4 3 m'
_space_group_IT_number 216
_space_group_name_Hall 'F -4 2 3'
loop_
_atom_site_label
_atom_site_fract_x
_atom_site_fract_y
_atom_site_fract_z
Nd1 0.000 0.000 0.000
Sm1 0.000 0.000 0.500
Ga1 0.250 0.250 0.250
Ru1 0.250 0.250 0.750